5
Lattice="3.930 0.000 0.000 0.000 3.930 0.000 0.000 0.000 3.930" Properties=species:S:1:pos:R:3 comment="ReTc3H (PBE-GGA, relaxed)" de_polymorph_mev_per_atom=51.5 dft_energy_ev_per_cell=-46.6 crystal_system=cubic pbc="T T T"
H 0.000 0.000 0.000
Tc 0.000 0.000 1.965
Tc 0.000 1.965 0.000
Re 1.965 1.965 1.965
Tc 1.965 0.000 0.000


8
Lattice="-1.295 0.522 -6.389 5.259 -3.640 -1.363 0.697 -3.455 -3.771" Properties=species:S:1:pos:R:3 comment="Re2TcH (PBE-GGA, relaxed)" de_polymorph_mev_per_atom=312.8 dft_energy_ev_per_cell=-74.2 crystal_system=tetragonal pbc="T T T"
Re 0.158 -1.048 -4.436
Tc 0.000 0.000 0.000
Re 2.561 -4.143 -5.878
H 3.969 -4.327 -4.505
Re 3.163 -3.019 -3.264
Tc 0.692 -2.246 -7.018
H 1.982 -1.559 -3.876
Re 3.439 -4.938 -9.468


3
Lattice="2.887 0.000 0.000 0.000 2.887 0.000 -1.444 -1.444 4.175" Properties=species:S:1:pos:R:3 comment="ReTcH (PBE-GGA, relaxed)" de_polymorph_mev_per_atom=439.7 dft_energy_ev_per_cell=-24.9 crystal_system=tetragonal pbc="T T T"
Tc 1.444 1.444 1.871
Re 0.000 0.000 0.162
H 0.000 0.000 2.142